# 1
A relaxed Er2Zn4Ni5 crystal. Source: Alexandria, functional PBE.

```
Er2Zn4Ni5
1.0
-2.4639 3.7388 2.7816
-4.9684 -0.3236 1.0288
0.3235 -1.8285 7.7390
Ni Er Zn
5 2 4
direct
0.0000 0.5000 0.0000 Ni
0.5000 0.0000 0.0000 Ni
0.2500 0.5000 0.5000 Ni
0.7500 0.5000 0.5000 Ni
0.5000 0.5000 0.0000 Ni
0.1246 0.0000 0.7509 Er
0.8754 0.0000 0.2491 Er
0.4724 0.3148 0.7404 Zn
0.5276 0.6852 0.2596 Zn
0.2128 0.3148 0.2596 Zn
0.7872 0.6852 0.7404 Zn
```

## Properties
Total energy in Ry/atom: -0.311
Symmetry: Fmmm
Calculated formation energy in eV per formula unit: -3.4

# 2
A relaxed MnCuTc3 crystal. Source: Alexandria, functional PBE.

```
MnCuTc3
1.0
-2.1397 2.4059 2.9598
1.5019 -2.5881 3.1895
3.5061 2.5769 0.4400
Mn Tc Cu
1 3 1
direct
0.5000 0.5000 0.5000 Mn
0.0000 0.5000 0.0000 Tc
0.5000 0.0000 0.0000 Tc
0.0000 0.0000 0.5000 Tc
0.0000 0.0000 0.0000 Cu
```

## Properties
Total energy in Ry/atom: -0.507
Symmetry: Pm-3m
Calculated formation energy in eV per formula unit: 9.9

# 3
A relaxed HgIrRu2 crystal. Source: Alexandria, functional PBE.

```
HgIrRu2
1.0
-0.3556 1.5688 3.6524
-1.8349 -3.2951 1.2366
3.5017 -1.5691 1.0149
Ru Hg Ir
2 1 1
direct
0.0000 0.0000 0.0000 Ru
0.0000 0.5000 0.5000 Ru
0.5000 0.5000 0.0000 Hg
0.5000 0.0000 0.5000 Ir
```

## Properties
Total energy in Ry/atom: -0.464
Symmetry: P4/mmm
Calculated formation energy in eV per formula unit: 2.5

# 4
A relaxed Rb4Ac3HfS8 crystal. Source: Alexandria, functional PBE.

```
Rb4Ac3HfS8
1.0
-0.8610 8.3737 1.5688
-8.9699 -0.5586 -1.9417
3.1003 -5.1944 6.0590
S Ac Rb Hf
8 3 4 1
direct
0.7385 0.7154 0.4770 S
0.7879 0.3078 0.0197 S
0.2121 0.6922 0.9803 S
0.2615 0.2846 0.5230 S
0.7682 0.6922 0.9803 S
0.2318 0.3078 0.0197 S
0.7879 0.3077 0.5757 S
0.2121 0.6923 0.4243 S
0.5000 0.5000 0.0000 Ac
0.0000 0.5000 0.5000 Ac
0.5000 0.5000 0.5000 Ac
0.5000 0.0000 0.5000 Rb
0.0000 0.0000 0.0000 Rb
0.5000 0.0000 0.0000 Rb
0.0000 0.0000 0.5000 Rb
0.0000 0.5000 0.0000 Hf
```

## Properties
Raw formation energy in eV/f.u.: -27.29
Total energy in Ry/atom: -0.397
Symmetry: R-3m

Please write out number 2 again, unchanged.
A relaxed MnCuTc3 crystal. Source: Alexandria, functional PBE.

```
MnCuTc3
1.0
-2.1397 2.4059 2.9598
1.5019 -2.5881 3.1895
3.5061 2.5769 0.4400
Mn Tc Cu
1 3 1
direct
0.5000 0.5000 0.5000 Mn
0.0000 0.5000 0.0000 Tc
0.5000 0.0000 0.0000 Tc
0.0000 0.0000 0.5000 Tc
0.0000 0.0000 0.0000 Cu
```

## Properties
Total energy in Ry/atom: -0.507
Symmetry: Pm-3m
Calculated formation energy in eV per formula unit: 9.9

Which of these has the highest total energy?
Er2Zn4Ni5